# 1
{
  "formula": "NaBiPdO2",
  "functional": "PBE",
  "state": "relaxed",
  "sg": "P4/mmm",
  "n_ef_per_ev_fu": 2.60,
  "lattice_angstrom": [[-4.2289, -0.1166, 0.3041], [0.1016, -7.4315, -1.4350], [0.3207, -0.7976, 4.1533]],
  "species": ["O", "O", "Bi", "Na", "Pd"],
  "frac_coords": [[0.5000, 0.0000, 0.0000], [0.0000, 0.0000, 0.5000], [0.0000, 0.0000, 0.0000], [0.0000, 0.5000, 0.0000], [0.5000, 0.5000, 0.5000]]
}


# 2
{
  "formula": "Na4Bi3PdO8",
  "functional": "PBE",
  "state": "relaxed",
  "sg": "C2/m",
  "n_ef_per_ev_fu": 11.20,
  "lattice_angstrom": [[-3.6438, -1.0937, -5.5503], [5.6104, -1.5197, -3.3838], [-1.5244, -3.8259, 5.8337]],
  "species": ["Na", "Na", "Na", "Na", "Bi", "Bi", "Bi", "O", "O", "O", "O", "O", "O", "O", "O", "Pd"],
  "frac_coords": [[0.5000, 0.0000, 0.5000], [0.0000, 0.0000, 0.5000], [0.0000, 0.0000, 0.0000], [0.5000, 0.0000, 0.0000], [0.5000, 0.5000, 0.5000], [0.5000, 0.5000, 0.0000], [0.0000, 0.5000, 0.5000], [0.1938, 0.6914, 0.9505], [0.7567, 0.6914, 0.9505], [0.2707, 0.2688, 0.5414], [0.8062, 0.3086, 0.0495], [0.7293, 0.7312, 0.4586], [0.2433, 0.3086, 0.0495], [0.2898, 0.7723, 0.5797], [0.7102, 0.2277, 0.4203], [0.0000, 0.5000, 0.0000]]
}


# 3
{
  "formula": "NaBiPdO4",
  "functional": "PBE",
  "state": "relaxed",
  "sg": "Imma",
  "n_ef_per_ev_fu": 1.34,
  "lattice_angstrom": [[6.0627, 0.0000, 0.0000], [-3.0313, 6.3170, 0.0218], [0.0000, -3.3911, 5.5767]],
  "species": ["O", "O", "O", "O", "O", "O", "O", "O", "Na", "Na", "Bi", "Bi", "Pd", "Pd"],
  "frac_coords": [[0.2911, 0.0462, 0.7731], [0.7089, 0.9538, 0.2269], [0.7551, 0.0462, 0.7731], [0.7047, 0.4095, 0.6566], [0.2953, 0.5905, 0.7471], [0.2449, 0.9538, 0.2269], [0.2953, 0.5905, 0.3434], [0.7047, 0.4095, 0.2529], [0.1691, 0.3382, 0.9191], [0.8309, 0.6618, 0.0809], [0.5000, 0.0000, 0.5000], [0.5000, 0.0000, 0.0000], [0.0000, 0.5000, 0.5000], [0.5000, 0.5000, 0.5000]]
}


# 4
{
  "formula": "Na3Bi3PdO8",
  "functional": "PBE",
  "state": "relaxed",
  "sg": "R-3m",
  "n_ef_per_ev_fu": 0.67,
  "lattice_angstrom": [[-1.1691, 2.4394, -6.3644], [5.6844, -3.7222, 1.2862], [-6.2036, -3.0598, -0.0333]],
  "species": ["Na", "Na", "Na", "O", "O", "O", "O", "O", "O", "O", "O", "Pd", "Bi", "Bi", "Bi"],
  "frac_coords": [[0.0000, 0.5000, 0.0000], [0.0000, 0.0000, 0.0000], [0.5000, 0.5000, 0.0000], [0.7451, 0.4901, 0.7351], [0.2549, 0.5099, 0.2649], [0.2138, 0.9917, 0.7055], [0.2221, 0.0083, 0.2945], [0.7779, 0.9917, 0.7055], [0.7862, 0.5723, 0.2945], [0.7862, 0.0083, 0.2945], [0.2138, 0.4277, 0.7055], [0.0000, 0.0000, 0.5000], [0.0000, 0.5000, 0.5000], [0.5000, 0.5000, 0.5000], [0.5000, 0.0000, 0.5000]]
}


# 5
{
  "formula": "NaPmBi4O8",
  "functional": "PBE",
  "state": "relaxed",
  "sg": "R3m",
  "n_ef_per_ev_fu": 0.00,
  "lattice_angstrom": [[7.0967, 0.0000, 0.0000], [3.5483, 6.1459, 0.0000], [3.5483, 2.0486, 5.9118]],
  "species": ["Pm", "O", "O", "O", "O", "O", "O", "O", "O", "Bi", "Bi", "Bi", "Bi", "Na"],
  "frac_coords": [[0.9999, 0.9999, 0.0003], [0.7666, 0.7666, 0.2383], [0.8010, 0.2361, 0.7267], [0.2304, 0.2304, 0.3088], [0.7465, 0.7465, 0.7606], [0.2361, 0.8010, 0.7267], [0.2286, 0.7666, 0.2383], [0.2361, 0.2361, 0.7267], [0.7666, 0.2286, 0.2383], [0.6222, 0.6222, 0.1334], [0.0002, 0.4896, 0.5100], [0.0002, 0.0002, 0.5100], [0.4896, 0.0002, 0.5100], [0.3759, 0.3759, 0.8722]]
}


# 6
{
  "formula": "NaPm2BiO6",
  "functional": "PBE",
  "state": "relaxed",
  "sg": "R3",
  "n_ef_per_ev_fu": 0.00,
  "lattice_angstrom": [[5.9164, 0.0001, 0.0002], [2.9582, 5.1236, 0.0000], [2.9582, 1.7081, 5.1589]],
  "species": ["Pm", "Pm", "O", "O", "O", "O", "O", "O", "Bi", "Na"],
  "frac_coords": [[0.0258, 0.0258, 0.9226], [0.5283, 0.5283, 0.4151], [0.5869, 0.2138, 0.2451], [0.6881, 0.1372, 0.7672], [0.1372, 0.4075, 0.7672], [0.4075, 0.6882, 0.7672], [0.2138, 0.9542, 0.2451], [0.9542, 0.5869, 0.2451], [0.3178, 0.3178, 0.0466], [0.8020, 0.8020, 0.5941]]
}


# 7
{
  "formula": "NaPmBi2O8",
  "functional": "PBE",
  "state": "relaxed",
  "sg": "P-3",
  "n_ef_per_ev_fu": 7.41,
  "lattice_angstrom": [[5.7001, 0.0000, 0.0000], [-2.8500, 4.9364, 0.0000], [0.0000, 0.0000, 5.8009]],
  "species": ["Na", "O", "O", "O", "O", "O", "O", "O", "O", "Bi", "Bi", "Pm"],
  "frac_coords": [[0.0000, 0.0000, 0.0000], [0.3333, 0.6667, 0.5709], [0.9535, 0.6486, 0.8124], [0.0465, 0.3514, 0.1876], [0.3514, 0.3049, 0.8124], [0.6486, 0.6951, 0.1876], [0.3049, 0.9535, 0.1876], [0.6667, 0.3333, 0.4291], [0.6951, 0.0465, 0.8124], [0.3333, 0.6667, 0.9392], [0.6667, 0.3333, 0.0608], [0.0000, 0.0000, 0.5000]]
}


# 8
{
  "formula": "Na2Pm4Bi3O2",
  "functional": "PBE",
  "state": "relaxed",
  "sg": "I4/mmm",
  "n_ef_per_ev_fu": 2.33,
  "lattice_angstrom": [[-4.1543, 2.5322, -0.2613], [-2.2961, -3.9433, -1.7079], [0.2811, -2.8651, 13.1865]],
  "species": ["Pm", "Pm", "Pm", "Pm", "Bi", "Bi", "Bi", "O", "O", "Na", "Na"],
  "frac_coords": [[0.0886, 0.5886, 0.1772], [0.9114, 0.4114, 0.8228], [0.4114, 0.9114, 0.8228], [0.5886, 0.0886, 0.1772], [0.0000, 0.0000, 0.0000], [0.1736, 0.1736, 0.3472], [0.8264, 0.8264, 0.6528], [0.4093, 0.4093, 0.8186], [0.5907, 0.5907, 0.1814], [0.2994, 0.2994, 0.5988], [0.7006, 0.7006, 0.4012]]
}


# 9
{
  "formula": "Na4Pm3BiO8",
  "functional": "PBE",
  "state": "relaxed",
  "sg": "R-3m",
  "n_ef_per_ev_fu": 0.00,
  "lattice_angstrom": [[-3.8069, -1.9084, 5.6852], [-5.5119, -1.2401, -4.1071], [6.2483, -3.1192, -1.3006]],
  "species": ["Na", "Na", "Na", "Na", "O", "O", "O", "O", "O", "O", "O", "O", "Pm", "Pm", "Pm", "Bi"],
  "frac_coords": [[0.5000, 0.0000, 0.0000], [0.0000, 0.0000, 0.0000], [0.0000, 0.0000, 0.5000], [0.5000, 0.0000, 0.5000], [0.7574, 0.2795, 0.5149], [0.2622, 0.2867, 0.5245], [0.2646, 0.2795, 0.0221], [0.7574, 0.2795, 0.0221], [0.2426, 0.7205, 0.4851], [0.2426, 0.7205, 0.9779], [0.7378, 0.7133, 0.4755], [0.7354, 0.7205, 0.9779], [0.5000, 0.5000, 0.0000], [0.0000, 0.5000, 0.5000], [0.5000, 0.5000, 0.5000], [0.0000, 0.5000, 0.0000]]
}


# 10
{
  "formula": "Na3Pm2BiO6",
  "functional": "PBE",
  "state": "relaxed",
  "sg": "C2/m",
  "n_ef_per_ev_fu": 0.00,
  "lattice_angstrom": [[-1.8724, 5.8537, 0.0236], [-1.1902, -3.6253, 4.8180], [5.9132, 0.8123, 0.7647]],
  "species": ["O", "O", "O", "O", "O", "O", "Pm", "Pm", "Na", "Na", "Na", "Bi"],
  "frac_coords": [[0.7343, 0.7343, 0.2208], [0.9267, 0.5875, 0.7802], [0.5875, 0.9267, 0.7802], [0.0733, 0.4125, 0.2198], [0.2657, 0.2657, 0.7792], [0.4125, 0.0733, 0.2198], [0.3331, 0.6669, 0.0000], [0.6669, 0.3331, 0.0000], [0.5000, 0.5000, 0.5000], [0.1632, 0.8368, 0.5000], [0.8368, 0.1632, 0.5000], [0.0000, 0.0000, 0.0000]]
}


# 11
{
  "formula": "NaPm2BiO5",
  "functional": "PBE",
  "state": "relaxed",
  "sg": "I4/mcm",
  "lattice_angstrom": [[6.8214, 0.0000, 0.0000], [0.0000, 6.8214, 0.0000], [-3.4107, -3.4107, 6.4131]],
  "species": ["Na", "Na", "O", "O", "O", "O", "O", "O", "O", "O", "O", "O", "Pm", "Pm", "Pm", "Pm", "Bi", "Bi"],
  "frac_coords": [[0.7500, 0.7500, 0.5000], [0.2500, 0.2500, 0.5000], [0.9693, 0.4693, 0.2378], [0.0307, 0.5307, 0.7622], [0.2315, 0.0307, 0.7622], [0.5000, 0.5000, 0.0000], [0.5307, 0.7315, 0.7622], [0.7315, 0.2315, 0.7622], [0.4693, 0.2685, 0.2378], [0.7685, 0.9693, 0.2378], [0.2685, 0.7685, 0.2378], [0.0000, 0.0000, 0.0000], [0.6776, 0.1776, 0.0000], [0.8224, 0.6776, 0.0000], [0.3224, 0.8224, 0.0000], [0.1776, 0.3224, 0.0000], [0.7500, 0.2500, 0.5000], [0.2500, 0.7500, 0.5000]]
}


# 12
{
  "formula": "NaPr2BiO5",
  "functional": "PBE",
  "state": "relaxed",
  "sg": "P4/mbm",
  "lattice_angstrom": [[6.5255, 0.0000, 0.0000], [0.0000, 6.9114, 0.0000], [0.0000, 0.0000, 6.9114]],
  "species": ["Pr", "Pr", "Pr", "Pr", "O", "O", "O", "O", "O", "O", "O", "O", "O", "O", "Bi", "Bi", "Na", "Na"],
  "frac_coords": [[0.5000, 0.6758, 0.1758], [0.5000, 0.3242, 0.8242], [0.5000, 0.1758, 0.3242], [0.5000, 0.8242, 0.6758], [0.2648, 0.1466, 0.6466], [0.5000, 0.5000, 0.5000], [0.7352, 0.1466, 0.6466], [0.7352, 0.8534, 0.3534], [0.2648, 0.3534, 0.1466], [0.2648, 0.6466, 0.8534], [0.2648, 0.8534, 0.3534], [0.5000, 0.0000, 0.0000], [0.7352, 0.6466, 0.8534], [0.7352, 0.3534, 0.1466], [0.0000, 0.0000, 0.5000], [0.0000, 0.5000, 0.0000], [0.0000, 0.5000, 0.5000], [0.0000, 0.0000, 0.0000]]
}


ΔE_f (raw) values (in eV/atom) by entry order: 0.144 -1.166 -0.901 -1.126 -1.591 -2.264 -0.851 -1.410 -2.330 -2.223 -2.222 -2.138.
Calculated density values (in Mg/m³) by entry order: 4.5 6.6 6.2 6.6 7.3 6.6 7.3 6.9 5.8 6.0 6.7 6.3.